Record 1
# BeSb2

A relaxed BeSb2 crystal (PBE, Alexandria via LeMat-Bulk).

Cell lengths 5.562, 5.562, 5.562 Å; angles 103.07, 103.07, 123.22 degrees
Atoms (fractional coordinates):
Be 0.750 0.750 0.000
Be 0.250 0.250 0.000
Sb 0.163 0.337 0.500
Sb 0.837 0.663 0.500
Sb 0.663 0.163 0.826
Sb 0.337 0.837 0.174

Computed properties:
**Formation energy without anion corrections**: 0.480 eV per atom
**Spin magnetization**: 0.000 μB per formula unit
**Symmetry**: I4/mcm, No. 140

=====

Record 2
# SiBAu

A relaxed SiBAu crystal (PBE, Alexandria via LeMat-Bulk).

Cell lengths 5.660, 3.453, 5.508 Å; angles 71.61, 68.92, 72.23 degrees
Atoms (fractional coordinates):
Si 0.545 0.666 0.172
Si 0.984 0.623 0.815
B 0.382 0.161 0.343
B 0.146 0.128 0.645
Au 0.964 0.395 0.296
Au 0.565 0.895 0.692

Computed properties:
**Formation energy without anion corrections**: 0.133 eV per atom
**Spin magnetization**: 0.000 μB per formula unit
**Symmetry**: P-1, No. 2